The following is a DFT calculation (GGA-PBE) of BaZnGePt3 after structural relaxation.

Cell: 7.324 7.324 5.931 Å, 90.00 90.00 121.77°
Fractional coordinates of all 12 atoms:
Ba: 0.233 0.767 0.750
Ba: 0.767 0.233 0.250
Zn: 0.489 0.511 0.250
Zn: 0.511 0.489 0.750
Ge: 0.104 0.896 0.250
Ge: 0.896 0.104 0.750
Pt: 0.210 0.210 0.000
Pt: 0.210 0.210 0.500
Pt: 0.291 0.709 0.250
Pt: 0.709 0.291 0.750
Pt: 0.790 0.790 0.000
Pt: 0.790 0.790 0.500

## Properties
Total energy, eV per cell: -58.534
Calculated formation energy, eV/atom: -0.5551